1.
A crystal of InNiAu2 relaxed with PBEsol. Source: Alexandria via LeMat-Bulk, functional meta-GGA SCAN.

formation enthalpy at 0 K: -0.0347 eV per atom
D(E_F): 1.916 states/eV/f.u.

```
InNiAu2
1.0
3.1684 0.0000 0.0000
0.0000 3.4812 0.0000
0.0000 0.0000 5.8535
In Ni Au
1 1 2
Direct
0.0000 0.0000 0.0000
0.5000 0.5000 0.7707
0.0000 0.0000 0.5382
0.5000 0.5000 0.2712
```

2.
A crystal of Li2TcPt relaxed with PBEsol. Source: Alexandria via LeMat-Bulk, functional meta-GGA SCAN.

ΔE to the lowest computed polymorph: 47.4 meV/atom
formation enthalpy at 0 K: -0.1624 eV per atom
D(E_F): 2.398 states/eV/f.u.

```
Li2TcPt
1.0
8.9239 0.0000 0.0000
0.0000 2.6200 0.0000
-0.5980 0.0000 4.8143
Li Tc Pt
4 2 2
Direct
0.0000 0.0000 0.0000
0.2396 0.0000 0.8162
0.5000 0.5000 0.0000
0.7396 0.5000 0.8162
0.4810 0.0000 0.4793
0.9810 0.5000 0.4793
0.2353 0.5000 0.3213
0.7353 0.0000 0.3213
```